# Al5O8

A geometry-optimized Al5O8 structure (PBE-GGA, the Alexandria database).

Formation energy without anion corrections ... -36.5 eV per formula unit
Raw total energy ... -0.536 Ry/atom
E above lowest polymorph ... 0 meV per atom

Geometry as CIF:
```
data_Al5O8
_chemical_formula_sum 'Al10 O16'
_space_group_name_H-M_alt 'P 63 m c'
_space_group_IT_number 186
_space_group_name_Hall 'P 6c -2c'
_cell_length_a 5.6137
_cell_length_b 5.6137
_cell_length_c 8.9580
_cell_angle_alpha 90.00
_cell_angle_beta 90.00
_cell_angle_gamma 120.00
loop_
_atom_site_label
_atom_site_fract_x
_atom_site_fract_y
_atom_site_fract_z
Al1 0.1622 0.3245 0.0000
Al2 0.3333 0.6667 0.2804
Al3 0.3333 0.6667 0.6864
O1 0.0000 0.0000 0.1031
O2 0.0256 0.5128 0.1311
O3 0.1705 0.3409 0.3906
O4 0.3333 0.6667 0.8901
```



# Ac5Sn2Hg

A geometry-optimized Ac5Sn2Hg structure (PBE-GGA, the Alexandria database).

ΔE_f ... -0.35 eV per atom
Raw total energy ... -0.291 Ry/atom
E above lowest polymorph ... 131 meV per atom

Geometry as CIF:
```
data_Ac5Sn2Hg
_chemical_formula_sum 'Ac20 Sn8 Hg4'
_space_group_name_H-M_alt 'C m c m'
_space_group_IT_number 63
_space_group_name_Hall '-C 2c 2'
_cell_length_a 6.2976
_cell_length_b 10.3930
_cell_length_c 18.5513
_cell_angle_alpha 90.00
_cell_angle_beta 90.00
_cell_angle_gamma 90.00
loop_
_atom_site_label
_atom_site_fract_x
_atom_site_fract_y
_atom_site_fract_z
Ac1 0.0000 0.0822 0.0864
Ac2 0.0000 0.2210 0.7500
Ac3 0.0000 0.4143 0.1003
Sn1 0.0000 0.2559 0.5697
Hg1 0.0000 0.1839 0.2500
```



Q: Which formula does entry 1 have?
A: Al5O8